No. 1
LaHfSb3 (PBE-GGA, relaxed); energy relative to the lowest polymorph listed for this composition = 0 meV/atom; space-group type = Pbcm, No. 57; VASP energy = -6.197 eV/atom; crystal system = orthorhombic
1.0
13.727 0.000 0.000
0.000 6.427 0.000
0.000 0.000 6.422
La Hf Sb
4 4 12
Direct
0.182 0.010 0.250
0.182 0.490 0.750
0.818 0.510 0.250
0.818 0.990 0.750
0.412 0.750 0.000
0.412 0.750 0.500
0.588 0.250 0.000
0.588 0.250 0.500
0.003 0.750 0.000
0.003 0.750 0.500
0.269 0.511 0.250
0.269 0.989 0.750
0.421 0.121 0.250
0.421 0.379 0.750
0.579 0.621 0.250
0.579 0.879 0.750
0.731 0.011 0.250
0.731 0.489 0.750
0.997 0.250 0.000
0.997 0.250 0.500

=====

No. 2
PmTc4As2 (PBE-GGA, relaxed); ΔE_f = -3.6 eV per formula unit; space-group type = Cmmm, No. 65; VASP energy = -8.445 eV/atom; crystal system = orthorhombic
1.0
2.068 -7.230 0.000
2.068 7.230 0.000
0.000 0.000 4.075
Pm Tc As
1 4 2
Direct
0.000 0.000 0.000
0.189 0.811 0.500
0.303 0.697 0.000
0.697 0.303 0.000
0.811 0.189 0.500
0.410 0.590 0.500
0.590 0.410 0.500

=====

No. 3
TbNd2Dy3Tm6 (PBE-GGA, relaxed); ΔE_f = 0.3 eV per formula unit; space-group type = C2/m, No. 12; VASP energy = -4.545 eV/atom; crystal system = monoclinic
1.0
3.069 -5.311 0.000
3.069 5.311 0.000
-2.038 0.000 11.492
Tb Nd Dy Tm
1 2 3 6
Direct
0.000 0.000 0.000
0.333 0.667 0.000
0.667 0.333 0.000
0.167 0.833 0.500
0.500 0.500 0.500
0.833 0.167 0.500
0.085 0.418 0.252
0.248 0.248 0.747
0.418 0.085 0.252
0.582 0.915 0.748
0.752 0.752 0.253
0.915 0.582 0.748